(1)
DFT (meta-GGA SCAN) results for a crystal of Ge2SbPAu relaxed with PBEsol.

The structure in POSCAR format:
```
Ge2SbPAu
1.0
-1.6861 0.9095 4.3983
1.3366 -4.3835 1.4188
4.9018 1.9709 1.4716
Ge Au Sb P
2 1 1 1
Direct
0.0000 0.5000 0.0000
0.5000 0.0000 0.0000
0.0000 0.0000 0.0000
0.0000 0.0000 0.5000
0.5000 0.5000 0.5000
```

Results
Total DFT energy (no corrections), eV/atom: -30.142
DOS at the Fermi energy, states/eV per atom: 0.558


(2)
DFT (meta-GGA SCAN) results for a crystal of Ge2Pb2Au relaxed with PBEsol.

The structure in POSCAR format:
```
Ge2Pb2Au
1.0
-2.8008 1.2481 -1.9945
-2.1663 -0.1581 2.9432
4.6815 7.6788 1.5852
Ge Pb Au
2 2 1
Direct
0.2500 0.7500 0.5000
0.7500 0.2500 0.5000
0.5980 0.5980 0.1960
0.4020 0.4020 0.8040
0.0000 0.0000 0.0000
```

Results
Total DFT energy (no corrections), eV/atom: -51.626
Energy of formation, eV per atom: 0.15
DOS at the Fermi energy, states/eV per atom: 0.357


(3)
DFT (meta-GGA SCAN) results for a crystal of GeTe2PdAu relaxed with PBEsol.

The structure in POSCAR format:
```
GeTe2PdAu
1.0
-0.4688 2.8705 3.5394
2.7395 -3.3312 3.0645
4.4939 2.4302 -1.3757
Au Pd Ge Te
1 1 1 2
Direct
0.5000 0.5000 0.5000
0.0000 0.0000 0.0000
0.5000 0.0000 0.0000
0.0000 0.0000 0.5000
0.0000 0.5000 0.0000
```

Results
Total DFT energy (no corrections), eV/atom: -38.656
DOS at the Fermi energy, states/eV per atom: 0.656


(4)
DFT (meta-GGA SCAN) results for a crystal of PmGeAu2 relaxed with PBEsol.

The structure in POSCAR format:
```
PmGeAu2
1.0
-1.4344 0.7587 4.5901
0.1100 -3.6502 3.2196
3.2763 0.0282 3.6010
Au Ge Pm
2 1 1
Direct
0.2500 0.2500 0.2500
0.7500 0.7500 0.7500
0.5000 0.5000 0.5000
0.0000 0.0000 0.0000
```

Results
Total DFT energy (no corrections), eV/atom: -51.034
Energy of formation, eV per atom: -0.69
DOS at the Fermi energy, states/eV per atom: 0.265